# 1
VASP calculation (PBE-GGA) on an optimized crystal structure of Ce2Al3Ga4Au.

POSCAR file:
```
Ce2Al3Ga4Au
1.0
-0.361 1.733 3.935
-1.635 -3.708 1.483
9.911 -3.406 2.409
Ce Ga Al Au
2 4 3 1
Cartesian
2.257 0.029 2.560
6.656 -4.422 2.558
6.153 -1.310 3.507
0.000 0.000 0.000
2.760 -3.083 1.611
-0.998 -0.987 2.709
0.499 -2.306 1.062
4.955 -1.703 1.205
8.414 -2.087 4.057
3.957 -2.690 3.914
```

Calculated values
Its energy of formation is -4.5 eV per formula unit. The crystal system is tetragonal. The value obtained for the energy is -43.0 eV per cell.

---

# 2
VASP calculation (PBE-GGA) on an optimized crystal structure of TiCrP2S.

POSCAR file:
```
TiCrP2S
1.0
-0.985 1.022 4.137
-2.935 -3.240 0.101
3.318 -2.958 1.521
P S Ti Cr
2 1 1 1
Cartesian
-0.493 0.511 2.068
-1.468 -1.620 0.051
1.659 -1.479 0.761
-0.301 -2.588 2.879
0.000 0.000 0.000
```

Calculated values
The calculation puts the uncorrected formation energy at 0.2860 eV/atom. The polymorph energy (0 for the lowest one) is 0.9 kJ/mol of atoms. The crystal system is tetragonal. The value obtained for the energy is -31.0 eV per cell.

---

# 3
VASP calculation (PBE-GGA) on an optimized crystal structure of PrGe2Ir.

POSCAR file:
```
PrGe2Ir
1.0
0.782 4.844 8.287
7.888 5.395 1.188
-8.393 -2.201 -4.178
Ge Pr Ir
8 4 4
Cartesian
3.663 4.326 4.003
-0.273 5.584 2.768
-0.157 5.630 6.041
5.759 8.606 8.221
0.550 2.454 2.529
0.434 2.408 -0.744
-5.482 -0.568 -2.924
5.007 5.913 5.472
2.292 4.602 1.286
-1.992 0.692 1.075
-5.619 1.951 3.033
-2.015 3.436 4.011
-0.868 3.747 0.906
1.145 4.291 4.391
-3.402 0.754 -1.863
3.679 7.284 7.160
```

Calculated values
Its energy of formation is -3.1 eV per formula unit. The crystal system is orthorhombic. The value obtained for the energy is -104.0 eV per cell.

---

# 4
VASP calculation (PBE-GGA) on an optimized crystal structure of Ba2NiAu.

POSCAR file:
```
Ba2NiAu
1.0
-2.260 -3.955 -3.165
0.681 -2.671 2.850
-4.976 1.080 2.203
Ni Ba Au
1 2 1
Cartesian
-1.451 -1.262 2.613
-2.907 -1.907 -0.402
-4.269 0.611 2.284
-5.050 -2.703 2.123
```

Calculated values
Its energy of formation is -0.9 eV per formula unit. The crystal system is orthorhombic. The value obtained for the energy is -13.8 eV per cell.

---

> What is the energy in the fourth record?

-13.8 eV per cell

---

> Which of these has the highest energy?

Ba2NiAu